Record 1
Computed, not measured: crystalline LiTlAs2 at its relaxed geometry at the GGA-PBEsol level of DFT.

## Properties
Calculated formation energy, meV/atom: -154
Spin magnetization, μB/f.u.: 0.0
Crystal system: tetragonal

Cell: 3.7018 3.7018 6.3031 Å, 90.00 90.00 90.00°
With the nearest neighbours (Å) after each atom.
Space group P4/mmm (No. 123)
Unique sites:
Li 0.0000 0.0000 0.0000 [1 per cell]  8 As 2.86, 2 Tl 3.15
Tl 0.0000 0.0000 0.5000 [1 per cell]  2 Li 3.15, 8 As 3.29
As 0.5000 0.5000 0.1826 [2 per cell]  1 As 2.30


Record 2
Computed, not measured: crystalline FeCo4Br at its relaxed geometry at the GGA-PBEsol level of DFT.

## Properties
Spin magnetization, μB/f.u.: 9.4
Crystal system: cubic
ΔE_f (raw), eV per atom: 0.655

Cell: 6.6917 6.6917 6.6917 Å, 90.00 90.00 90.00°
With the nearest neighbours (Å) after each atom.
Space group F-43m (No. 216)
Unique sites:
Fe 0.0000 0.0000 0.0000 [4 per cell]  12 Co 2.77, 4 Br 2.90
Co 0.1260 0.1260 0.6260 [16 per cell]  6 Co 2.35-2.38
Br 0.2500 0.2500 0.2500 [4 per cell]  12 Co 2.78, 4 Fe 2.90


Record 3
Computed, not measured: crystalline MnSeI3 at its relaxed geometry at the GGA-PBEsol level of DFT.

## Properties
Spin magnetization, μB/f.u.: 2.0
Energy above the most stable polymorph in this dataset, meV per atom: 0.0
Crystal system: cubic
ΔE_f (raw), eV per atom: 0.311

Cell: 5.3693 5.3693 5.3693 Å, 90.00 90.00 90.00°
With the nearest neighbours (Å) after each atom.
Space group Pm-3m (No. 221)
Unique sites:
Mn 0.0000 0.0000 0.0000 [1 per cell]  6 I 2.68
Se 0.5000 0.5000 0.5000 [1 per cell]  12 I 3.80
I 0.0000 0.0000 0.5000 [3 per cell]  2 Mn 2.68


Question: Which of these has the lowest spin magnetization?
Answer: LiTlAs2